PBE Rb2Hg2Bi, optimized geometry; formation energy from the elements = -178.3 meV/atom; volume = 42.11 Å³ per atom; total magnetic moment = 0.00 μB/f.u.
1.0
4.3620 0.0000 0.0000
0.0000 4.3620 0.0000
2.1810 2.1810 11.0654
Bi Rb Hg
1 2 2
Direct
0.0000 0.0000 0.0000 Bi
0.3958 0.3958 0.2085 Rb
0.6042 0.6042 0.7915 Rb
0.7500 0.2500 0.5000 Hg
0.2500 0.7500 0.5000 Hg